## SrZrPb (PBE)

Data for an optimized crystal structure of SrZrPb.

Properties
Its total energy is -13.81 eV/cell. The value obtained for the density of states at the Fermi level is 2.57 states/eV/f.u. The calculated density is 7.16 g cm⁻³. The symmetry is I4mm, No. 107.

Structure (CIF):
```
data_SrZrPb
_chemical_formula_sum 'Sr1 Zr1 Pb1'
_space_group_name_H-M_alt 'P 1'
_space_group_IT_number 1
_cell_length_a 8.059
_cell_length_b 8.059
_cell_length_c 3.414
_cell_angle_alpha 77.78
_cell_angle_beta 77.76
_cell_angle_gamma 24.45
loop_
_space_group_symop_operation_xyz
'x,y,z'
loop_
_atom_site_label
_atom_site_fract_x
_atom_site_fract_y
_atom_site_fract_z
Pb1 0.011 0.011 0.989
Sr1 0.340 0.340 0.660
Zr1 0.650 0.650 0.350
```


## SrZr2Pb (PBE)

Data for an optimized crystal structure of SrZr2Pb.

Properties
Its total energy is -21.52 eV/cell. The value obtained for the density of states at the Fermi level is 4.67 states/eV/f.u. The calculated density is 7.10 g cm⁻³. The symmetry is Imm2, No. 44.

Structure (CIF):
```
data_SrZr2Pb
_chemical_formula_sum 'Sr1 Zr2 Pb1'
_space_group_name_H-M_alt 'P 1'
_space_group_IT_number 1
_cell_length_a 6.595
_cell_length_b 6.595
_cell_length_c 6.595
_cell_angle_alpha 150.02
_cell_angle_beta 128.24
_cell_angle_gamma 60.98
loop_
_space_group_symop_operation_xyz
'x,y,z'
loop_
_atom_site_label
_atom_site_fract_x
_atom_site_fract_y
_atom_site_fract_z
Pb1 0.519 0.519 0.000
Sr1 0.253 0.753 0.500
Zr1 0.974 0.974 0.000
Zr2 0.753 0.253 0.500
```


## SrZr2Pb2 (PBE)

Data for an optimized crystal structure of SrZr2Pb2.

Properties
Its total energy is -53.32 eV/cell. The value obtained for the density of states at the Fermi level is 6.12 states/eV/f.u. The calculated density is 8.21 g cm⁻³. The symmetry is P4/mbm, No. 127.

Structure (CIF):
```
data_SrZr2Pb2
_chemical_formula_sum 'Sr2 Zr4 Pb4'
_space_group_name_H-M_alt 'P 1'
_space_group_IT_number 1
_cell_length_a 8.952
_cell_length_b 8.952
_cell_length_c 3.454
_cell_angle_alpha 90.00
_cell_angle_beta 90.00
_cell_angle_gamma 90.00
loop_
_space_group_symop_operation_xyz
'x,y,z'
loop_
_atom_site_label
_atom_site_fract_x
_atom_site_fract_y
_atom_site_fract_z
Pb1 0.334 0.834 0.000
Pb2 0.834 0.666 0.000
Pb3 0.666 0.166 0.000
Pb4 0.166 0.334 0.000
Sr1 0.000 0.000 0.000
Sr2 0.500 0.500 0.000
Zr1 0.125 0.625 0.500
Zr2 0.625 0.875 0.500
Zr3 0.875 0.375 0.500
Zr4 0.375 0.125 0.500
```


Table of DFT formation energy (eV/atom), in record order: 0.0421, 0.2407, -0.0932